Entry 1:
ScP2Os PBE optimized geometry; polymorph energy (0 for the lowest one) = 571 meV/atom; N(E_F) = 1.222 states/eV per atom; electronic total energy = -0.26444 hartree per atom; energy of formation = -0.10 eV/atom; crystal system = trigonal
1.0
7.877 -0.019 -0.011
7.278 3.012 -0.011
7.278 1.437 2.647
Sc Os P
1 1 2
Cartesian
5.608 1.108 0.656 Sc
16.824 3.323 1.968 Os
0.211 0.042 0.025 P
11.005 2.173 1.287 P

***

Entry 2:
ScSiPOs2 PBE optimized geometry; N(E_F) = 1.326 states/eV per atom; energy relative to the elements, uncorrected = 2.1679 eV per atom; electronic total energy = -0.21156 hartree per atom; crystal system = tetragonal
1.0
4.706 0.000 0.000
0.000 4.686 0.000
0.000 0.000 4.706
Si P Os Sc
1 1 2 1
Cartesian
0.000 2.343 0.000 Si
2.353 2.343 2.353 P
2.353 0.000 0.000 Os
0.000 0.000 2.353 Os
0.000 0.000 0.000 Sc

***

Entry 3:
Sr2ScPOs PBE optimized geometry; N(E_F) = 0.143 states/eV per atom; electronic total energy = -0.18318 hartree per atom; energy of formation = 0.28 eV/atom; crystal system = tetragonal
1.0
5.675 0.000 0.000
0.000 4.876 0.000
0.000 0.000 5.675
Sr Os Sc P
2 1 1 1
Cartesian
2.838 0.000 0.000 Sr
0.000 0.000 2.838 Sr
0.000 0.000 0.000 Os
0.000 2.438 0.000 Sc
2.838 2.438 2.838 P

***

Entry 4:
Sc2TePOs PBE optimized geometry; N(E_F) = 1.043 states/eV per atom; energy relative to the elements, uncorrected = 1.2532 eV per atom; electronic total energy = -0.19241 hartree per atom; crystal system = tetragonal
1.0
-0.545 5.152 -0.799
-3.212 -0.896 -3.591
-3.921 0.124 3.477
Os Te Sc P
1 1 2 1
Cartesian
-3.839 2.190 -0.456 Os
0.000 0.000 0.000 Te
-0.272 2.576 -0.399 Sc
-1.960 0.062 1.738 Sc
-1.606 -0.448 -1.795 P

***

Question: Which formula does entry 2 have?
Answer: ScSiPOs2

***

Question: Among the records above, which one has the lowest electronic total energy?
Answer: ScP2Os

***

Question: Which of these has the highest N(E_F)?
Answer: ScSiPOs2

***

Question: Among the records above, which one has the lowest N(E_F)?
Answer: Sr2ScPOs